Material: PuCdIn2
Method: DFT, PBE
State: relaxed

abc: 5.2367 5.2367 5.2367
angles: 60.00 60.00 60.00
Last column: magnetic moment on the atom in μB.
Atoms (fractional coordinates):
1 Cd 0.5000 0.5000 0.5000  0.00
2 In 0.2500 0.2500 0.2500  0.05
3 In 0.7500 0.7500 0.7500  0.05
4 Pu 0.0000 0.0000 0.0000  5.56

Output
D(E_F)   2.975 states/eV/atom
Formation energy   -7.75 kJ per mole of atoms
Distance to the lowest polymorph of the same formula   1.37 kcal/mol of atoms
V   101.54 Å³ per cell

***

Material: TbHo2Se2S2
Method: DFT, PBE
State: relaxed

abc: 5.1059 5.1059 8.0356
angles: 108.52 108.52 90.00
Last column: magnetic moment on the atom in μB.
Atoms (fractional coordinates):
1 Tb 0.0000 0.0000 0.0000  0.02
2 Ho 0.3814 0.3814 0.7628  0.13
3 Ho 0.6186 0.6186 0.2372  0.13
4 Se 0.1925 0.1925 0.3850  0.00
5 Se 0.8075 0.8075 0.6150  0.00
6 S 0.0000 0.5000 0.0000  0.00
7 S 0.5000 0.0000 0.0000  0.00

Output
D(E_F)   0.291 states/eV/atom
V   187.15 Å³ per cell
Formation energy from raw total energies   -1433 meV per atom

***

Material: CaAcPu2O8
Method: DFT, PBE
State: relaxed

abc: 5.5349 5.5349 6.6171
angles: 114.72 114.72 90.00
Last column: magnetic moment on the atom in μB.
Atoms (fractional coordinates):
1 Ca 0.7500 0.2500 0.5000  0.00
2 Ac 0.0000 0.0000 0.0000  -0.03
3 Pu 0.5000 0.5000 0.0000  3.23
4 Pu 0.2500 0.7500 0.5000  3.32
5 O 0.8721 0.8458 0.2534  -0.17
6 O 0.3813 0.4077 0.2534  -0.17
7 O 0.5924 0.6186 0.7466  -0.17
8 O 0.1542 0.1280 0.7466  -0.17
9 O 0.8720 0.4076 0.2534  -0.17
10 O 0.3814 0.8458 0.2534  -0.17
11 O 0.1542 0.6187 0.7466  -0.17
12 O 0.5923 0.1279 0.7466  -0.17

Output
D(E_F)   0.917 states/eV/atom
V   163.46 Å³ per cell
Formation energy from raw total energies   -2838 meV per atom

***

Material: La7PmHo2
Method: DFT, PBE
State: relaxed

abc: 5.8341 9.2892 9.2892
angles: 121.63 90.00 90.00
Atoms (fractional coordinates):
1 La 0.0000 0.7632 0.2368
2 La 0.0000 0.2368 0.7632
3 La 0.5000 0.0663 0.2979
4 La 0.5000 0.9337 0.7021
5 La 0.5000 0.2979 0.0663
6 La 0.5000 0.7021 0.9337
7 La 0.5000 0.5000 0.5000
8 Pm 0.0000 0.0000 0.0000
9 Ho 0.5000 0.7038 0.2962
10 Ho 0.5000 0.2962 0.7038

Output
D(E_F)   1.779 states/eV/atom
Formation energy   57.29 kJ per mole of atoms
V   428.65 Å³ per cell

***

Material: La2InRe
Method: DFT, PBE
State: relaxed

abc: 10.1414 10.1414 10.1414
angles: 19.72 19.72 19.72
Atoms (fractional coordinates):
1 In 0.7634 0.7634 0.7634
2 La 0.0048 0.0048 0.0048
3 La 0.2348 0.2348 0.2348
4 Re 0.4970 0.4970 0.4970

Output
D(E_F)   0.857 states/eV/atom
Formation energy   43.59 kJ per mole of atoms
V   103.88 Å³ per cell

***

Material: Hf12Ge6H
Method: DFT, PBE
State: relaxed

abc: 7.4259 7.4259 7.4259
angles: 99.72 99.72 99.72
Atoms (fractional coordinates):
1 Hf 0.8128 0.5780 0.4495
2 Hf 0.4495 0.8128 0.5780
3 Hf 0.5780 0.4495 0.8128
4 Hf 0.1872 0.4220 0.5505
5 Hf 0.5505 0.1872 0.4220
6 Hf 0.4220 0.5505 0.1872
7 Hf 0.0601 0.0025 0.3061
8 Hf 0.9975 0.6939 0.9399
9 Hf 0.6939 0.9399 0.9975
10 Hf 0.9399 0.9975 0.6939
11 Hf 0.0025 0.3061 0.0601
12 Hf 0.3061 0.0601 0.0025
13 Ge 0.6951 0.8766 0.3497
14 Ge 0.6503 0.3049 0.1234
15 Ge 0.1234 0.6503 0.3049
16 Ge 0.3049 0.1234 0.6503
17 Ge 0.3497 0.6951 0.8766
18 Ge 0.8766 0.3497 0.6951
19 H 0.0000 0.0000 0.0000

Output
D(E_F)   0.809 states/eV/atom
V   389.51 Å³ per cell

***

Material: HfMgAsSe2
Method: DFT, PBE
State: relaxed

abc: 5.1417 5.1417 5.2115
angles: 90.00 90.00 90.00
Atoms (fractional coordinates):
1 As 0.0000 0.0000 0.5000
2 Hf 0.0000 0.0000 0.0000
3 Mg 0.5000 0.5000 0.5000
4 Se 0.0000 0.5000 0.0000
5 Se 0.5000 0.0000 0.0000

Output
D(E_F)   0.510 states/eV/atom
Distance to the lowest polymorph of the same formula   0.00 kcal/mol of atoms
V   137.78 Å³ per cell
Formation energy from raw total energies   -340 meV per atom

***

Material: Zn2ReSi
Method: DFT, PBE
State: relaxed

abc: 4.9312 2.6530 4.4379
angles: 91.97 90.00 90.00
Atoms (fractional coordinates):
1 Re 0.5000 0.2500 0.2500
2 Si 0.5000 0.7500 0.7500
3 Zn 0.0000 0.9855 0.0003
4 Zn 0.0000 0.5145 0.4997

Output
D(E_F)   0.431 states/eV/atom
V   58.02 Å³ per cell
Formation energy from raw total energies   156 meV per atom

***

Material: ScSi2Rh
Method: DFT, PBE
State: relaxed

abc: 4.1165 3.0217 5.0810
angles: 90.00 90.00 90.00
Atoms (fractional coordinates):
1 Rh 0.5000 0.2500 0.2500
2 Sc 0.5000 0.7500 0.7500
3 Si 0.0000 0.2500 0.9960
4 Si 0.0000 0.2500 0.5040

Output
D(E_F)   0.573 states/eV/atom
V   63.20 Å³ per cell
Formation energy from raw total energies   -709 meV per atom

***

Material: ThScTeC
Method: DFT, PBE
State: relaxed

abc: 3.7652 3.7655 7.3807
angles: 90.00 104.78 120.00
Last column: magnetic moment on the atom in μB.
Atoms (fractional coordinates):
1 Th 0.5151 0.1555 0.6858  0.20
2 Sc 0.0959 0.9459 0.0572  0.11
3 Te 0.9525 0.3743 0.3420  0.00
4 C 0.3143 0.5551 0.8846  -0.01

Output
D(E_F)   0.607 states/eV/atom
V   86.60 Å³ per cell
Formation energy from raw total energies   -773 meV per atom

***

Material: NdLuPuSc
Method: DFT, PBE
State: relaxed

abc: 5.4785 5.4785 5.4785
angles: 60.00 60.00 60.00
Last column: magnetic moment on the atom in μB.
Atoms (fractional coordinates):
1 Sc 0.0000 0.0000 0.0000  -0.08
2 Lu 0.5000 0.5000 0.5000  -0.09
3 Nd 0.7500 0.7500 0.7500  0.08
4 Pu 0.2500 0.2500 0.2500  -5.42

Output
D(E_F)   2.370 states/eV/atom
Formation energy   17.42 kJ per mole of atoms
V   116.27 Å³ per cell

***

Material: Ac2TlPd4Pb3
Method: DFT, PBE
State: relaxed

abc: 4.7822 4.7822 11.1557
angles: 90.00 90.00 90.00
Atoms (fractional coordinates):
1 Ac 0.5000 0.0000 0.2397
2 Ac 0.0000 0.5000 0.7603
3 Tl 0.5000 0.5000 0.5000
4 Pd 0.5000 0.5000 0.0000
5 Pd 0.0000 0.0000 0.0000
6 Pd 0.5000 0.0000 0.6361
7 Pd 0.0000 0.5000 0.3639
8 Pb 0.0000 0.0000 0.5000
9 Pb 0.5000 0.0000 0.8770
10 Pb 0.0000 0.5000 0.1230

Output
D(E_F)   0.514 states/eV/atom
Formation energy   -51.19 kJ per mole of atoms
V   255.12 Å³ per cell

***

Material: ZrVIrRh
Method: DFT, PBE
State: relaxed

abc: 4.5186 4.5186 4.5186
angles: 60.00 60.00 60.00
Last column: magnetic moment on the atom in μB.
Atoms (fractional coordinates):
1 Ir 0.7500 0.7500 0.7500  0.12
2 Rh 0.2500 0.2500 0.2500  0.37
3 Zr 0.5000 0.5000 0.5000  0.04
4 V 0.0000 0.0000 0.0000  1.63

Output
D(E_F)   1.849 states/eV/atom
Formation energy   -41.68 kJ per mole of atoms
V   65.24 Å³ per cell

***

Material: Sm3Y3Tm
Method: DFT, PBE
State: relaxed

abc: 6.2302 6.2302 14.7392
angles: 77.80 77.80 60.00
Atoms (fractional coordinates):
1 Sm 0.1992 0.8680 0.3954
2 Sm 0.5374 0.1992 0.3954
3 Sm 0.8680 0.5374 0.3954
4 Sm 0.1320 0.4626 0.6046
5 Sm 0.4626 0.8008 0.6046
6 Sm 0.8008 0.1320 0.6046
7 Y 0.9354 0.2684 0.1945
8 Y 0.6017 0.9354 0.1945
9 Y 0.2684 0.6017 0.1945
10 Y 0.7316 0.3983 0.8055
11 Y 0.3983 0.0646 0.8055
12 Y 0.0646 0.7316 0.8055
13 Tm 0.6667 0.6667 0.0000
14 Tm 0.3333 0.3333 0.0000

Output
D(E_F)   1.543 states/eV/atom
Formation energy   15.53 kJ per mole of atoms
Distance to the lowest polymorph of the same formula   0.00 kcal/mol of atoms
V   480.48 Å³ per cell

***

Material: CuBiCl6
Method: DFT, PBE
State: relaxed

abc: 6.4077 6.4054 6.8948
angles: 62.30 62.32 60.03
Last column: magnetic moment on the atom in μB.
Atoms (fractional coordinates):
1 Cu 0.0000 0.0000 0.0000  0.50
2 Bi 0.5000 0.5000 0.5000  0.01
3 Cl 0.0789 0.3841 0.7650  0.10
4 Cl 0.7719 0.0791 0.7648  0.10
5 Cl 0.6159 0.2282 0.2351  0.10
6 Cl 0.2281 0.9209 0.2352  0.10
7 Cl 0.9211 0.6159 0.2350  0.10
8 Cl 0.3841 0.7718 0.7649  0.10

Output
D(E_F)   0.643 states/eV/atom
V   206.85 Å³ per cell
Formation energy from raw total energies   -546 meV per atom

***

Material: AgPbI3
Method: DFT, PBE
State: relaxed

abc: 4.7160 7.5632 12.2767
angles: 90.00 101.07 90.00
Atoms (fractional coordinates):
1 Ag 0.8878 0.9292 0.7757
2 Ag 0.1122 0.4292 0.2243
3 Pb 0.3391 0.5152 0.6781
4 Pb 0.6609 0.0152 0.3219
5 I 0.9006 0.3026 0.8013
6 I 0.0994 0.8026 0.1987
7 I 0.5620 0.2854 0.1240
8 I 0.4380 0.7854 0.8760
9 I 0.7782 0.7617 0.5563
10 I 0.2218 0.2617 0.4437

Output
D(E_F)   0.000 states/eV/atom
Distance to the lowest polymorph of the same formula   0.00 kcal/mol of atoms
V   429.74 Å³ per cell
Formation energy from raw total energies   -472 meV per atom

***

Material: Ba2Sb2Br
Method: DFT, PBE
State: relaxed

abc: 6.5438 6.5438 6.9405
angles: 61.87 61.87 90.00
Last column: magnetic moment on the atom in μB.
Atoms (fractional coordinates):
1 Sb 0.3667 0.3667 0.2666  0.15
2 Sb 0.6333 0.6333 0.7334  0.15
3 Ba 0.7500 0.2500 0.5000  0.06
4 Ba 0.2500 0.7500 0.5000  0.06
5 Br 0.0000 0.0000 0.0000  0.00

Output
D(E_F)   0.578 states/eV/atom
Distance to the lowest polymorph of the same formula   5.96 kcal/mol of atoms
V   221.52 Å³ per cell
Formation energy from raw total energies   -952 meV per atom

***

Material: Mg2Sb2Pb
Method: DFT, PBE
State: relaxed

abc: 4.7741 7.8959 11.6830
angles: 133.59 90.00 90.00
Atoms (fractional coordinates):
1 Mg 0.7500 0.4221 0.0751
2 Mg 0.2500 0.7162 0.5794
3 Mg 0.2500 0.5779 0.9249
4 Mg 0.7500 0.2838 0.4206
5 Sb 0.2500 0.3666 0.5977
6 Sb 0.7500 0.8344 0.1037
7 Sb 0.2500 0.1656 0.8963
8 Sb 0.7500 0.6334 0.4023
9 Pb 0.7500 0.1730 0.6969
10 Pb 0.2500 0.8270 0.3031

Output
Distance to the lowest polymorph of the same formula   0.00 kcal/mol of atoms
V   318.99 Å³ per cell
Formation energy from raw total energies   -217 meV per atom

***

Material: K3Er2SnO6
Method: DFT, PBE
State: relaxed

abc: 5.9875 5.9875 6.5675
angles: 98.72 98.72 120.00
Last column: magnetic moment on the atom in μB.
Atoms (fractional coordinates):
1 K 0.1636 0.8364 0.5000  0.00
2 K 0.8364 0.1636 0.5000  0.00
3 K 0.5000 0.5000 0.5000  0.00
4 Er 0.3331 0.6669 0.0000  0.01
5 Er 0.6669 0.3331 0.0000  0.01
6 Sn 0.0000 0.0000 0.0000  0.13
7 O 0.9377 0.5986 0.8130  0.03
8 O 0.7231 0.7231 0.1865  0.03
9 O 0.0623 0.4014 0.1870  0.03
10 O 0.5986 0.9377 0.8130  0.03
11 O 0.2769 0.2769 0.8135  0.03
12 O 0.4014 0.0623 0.1870  0.03

Output
D(E_F)   0.404 states/eV/atom
V   194.31 Å³ per cell
Formation energy from raw total energies   -2289 meV per atom

***

Material: YBi3P
Method: DFT, PBE
State: relaxed

abc: 5.4027 5.4027 5.4027
angles: 90.00 90.00 90.00
Atoms (fractional coordinates):
1 Y 0.5000 0.5000 0.5000
2 P 0.0000 0.0000 0.0000
3 Bi 0.0000 0.5000 0.0000
4 Bi 0.0000 0.0000 0.5000
5 Bi 0.5000 0.0000 0.0000

Output
D(E_F)   0.846 states/eV/atom
Formation energy   18.62 kJ per mole of atoms
Distance to the lowest polymorph of the same formula   0.00 kcal/mol of atoms
V   157.70 Å³ per cell

***

Material: TbYPu4
Method: DFT, PBE
State: relaxed

abc: 6.1779 6.1779 6.1779
angles: 60.00 60.00 60.00
Last column: magnetic moment on the atom in μB.
Atoms (fractional coordinates):
1 Y 0.0000 0.0000 0.0000  0.04
2 Tb 0.2500 0.2500 0.2500  0.05
3 Pu 0.6249 0.6249 0.1254  5.35
4 Pu 0.6249 0.1254 0.6249  5.35
5 Pu 0.6249 0.6249 0.6249  5.35
6 Pu 0.1254 0.6249 0.6249  5.35

Output
D(E_F)   4.719 states/eV/atom
Formation energy   22.22 kJ per mole of atoms
V   166.73 Å³ per cell

***

Material: Tl2SnAu4
Method: DFT, PBE
State: relaxed

abc: 5.4951 5.5002 7.5316
angles: 110.46 77.98 117.66
Atoms (fractional coordinates):
1 Tl 0.4656 0.6459 0.3250
2 Tl 0.5344 0.3541 0.6750
3 Sn 0.0000 0.0000 0.0000
4 Au 0.0000 0.5000 0.0000
5 Au 0.5000 0.0000 0.0000
6 Au 0.8369 0.9916 0.6597
7 Au 0.1631 0.0084 0.3402

Output
D(E_F)   0.336 states/eV/atom
Formation energy   2.01 kJ per mole of atoms
V   188.60 Å³ per cell

***

Material: PmSi3Pd3
Method: DFT, PBE
State: relaxed

abc: 6.9174 6.9174 7.7486
angles: 63.49 63.49 60.00
Atoms (fractional coordinates):
1 Pm 0.3318 0.3318 0.0046
2 Pm 0.6682 0.6682 0.9954
3 Si 0.5022 0.7086 0.6630
4 Si 0.7086 0.1263 0.6630
5 Si 0.1263 0.5022 0.6630
6 Si 0.8737 0.4978 0.3370
7 Si 0.2914 0.8737 0.3370
8 Si 0.4978 0.2914 0.3370
9 Pd 0.1562 0.6334 0.3052
10 Pd 0.9052 0.1562 0.3052
11 Pd 0.6334 0.9052 0.3052
12 Pd 0.3666 0.0948 0.6948
13 Pd 0.0948 0.8438 0.6948
14 Pd 0.8438 0.3666 0.6948

Output
D(E_F)   0.540 states/eV/atom
Distance to the lowest polymorph of the same formula   2.14 kcal/mol of atoms
V   275.16 Å³ per cell
Formation energy from raw total energies   -452 meV per atom

***

Material: Nd3Dy
Method: DFT, PBE
State: relaxed

abc: 3.6858 6.3607 6.9525
angles: 117.22 105.37 90.00
Atoms (fractional coordinates):
1 Nd 0.2518 0.5844 0.5036
2 Nd 0.5000 0.5001 0.0000
3 Nd 0.7482 0.0808 0.4964
4 Dy 0.0000 0.0013 0.0000

Output
D(E_F)   1.726 states/eV/atom
Formation energy   2.84 kJ per mole of atoms
Distance to the lowest polymorph of the same formula   0.33 kcal/mol of atoms
V   138.35 Å³ per cell

***

Material: LaNiH6Pt2
Method: DFT, PBE
State: relaxed

abc: 4.6963 4.6975 5.7744
angles: 90.00 114.07 120.02
Atoms (fractional coordinates):
1 La 0.9966 0.4978 0.4803
2 Ni 0.9964 0.9977 0.9801
3 H 0.6809 0.0537 0.7205
4 H 0.3123 0.9419 0.2401
5 H 0.8858 0.9424 0.2409
6 H 0.3124 0.3695 0.2402
7 H 0.6808 0.6260 0.7204
8 H 0.1073 0.0531 0.7196
9 Pt 0.4159 0.7075 0.1088
10 Pt 0.5772 0.2881 0.8517

Output
D(E_F)   0.302 states/eV/atom
V   97.29 Å³ per cell

***

It is found that the electronic total energy values, taken in the order of the records, are -5.261, -5.577, -9.041, -4.246, -5.809, -8.146, -4.974, -4.949, -6.841, -7.302, -7.308, -4.779, -8.902, -5.271, -2.928, -2.714, -3.704, -3.246, -6.136, -4.510, -11.173, -3.100, -5.680, -4.697, -4.661 eV/atom.